Compound: Li2AlHg2
Source: Alexandria
Functional: PBE-GGA
Structure: optimized geometry

Cell lengths 3.6935, 3.6935, 14.2981 Å; angles 90.00, 90.00, 90.00 degrees
Space group I4/mmm (No. 139)
One atom of each set of equivalent atoms:
Li (0.0000, 0.5000, 0.2500) [4 per cell]
Al (0.0000, 0.0000, 0.0000) [2 per cell]
Hg (0.0000, 0.0000, 0.3908) [4 per cell]

Summary:
The formation energy is -0.062 eV/atom. The calculation puts the total magnetization at 0.0 Bohr magnetons per cell. The uncorrected energy comes out at -0.1247 Ry/atom. The value obtained for the energy above the lowest structure with this stoichiometry is 0.138 eV per atom.